Run A
{"formula": "IrPdRu", "functional": "GGA-PBE", "state": "optimized geometry", "magnetic_moment_mub_per_fu": 0.00, "lattice_angstrom": [[1.660, 0.218, 2.167], [-1.674, -2.154, -0.231], [9.570, -6.724, -6.658]], "species": ["Ir", "Ir", "Pd", "Pd", "Ru", "Ru"], "frac_coords": [[0.000, 0.000, 0.315], [0.333, 0.667, 0.834], [0.667, 0.333, 0.662], [0.333, 0.667, 0.486], [0.667, 0.333, 0.156], [0.000, 0.000, 0.996]]}

Run B
{"formula": "IrPdRu", "functional": "GGA-PBE", "state": "optimized geometry", "magnetic_moment_mub_per_fu": 0.00, "lattice_angstrom": [[-2.714, -0.250, -0.144], [1.587, -2.211, -0.206], [-0.279, -0.826, 6.714]], "species": ["Ru", "Ir", "Pd"], "frac_coords": [[0.667, 0.333, 0.341], [0.333, 0.667, 0.656], [0.000, 0.000, 0.003]]}

Run C
{"formula": "IrPdRu", "functional": "GGA-PBE", "state": "optimized geometry", "magnetic_moment_mub_per_fu": 0.00, "lattice_angstrom": [[2.735, 0.000, 0.000], [0.000, 2.735, 0.000], [-1.368, -1.368, 5.868]], "species": ["Ru", "Ir", "Pd"], "frac_coords": [[0.326, 0.326, 0.652], [0.675, 0.675, 0.350], [0.999, 0.999, 0.998]]}

Last place for stability: run C

Run A
{"formula": "IrPd3S", "functional": "GGA-PBE", "state": "optimized geometry", "magnetic_moment_mub_per_fu": 0.86, "lattice_angstrom": [[4.818, 0.000, 0.000], [0.000, 4.818, 0.000], [0.000, 0.000, 4.818]], "species": ["S", "Ir", "Pd", "Pd", "Pd"], "frac_coords": [[0.500, 0.500, 0.500], [0.000, 0.000, 0.000], [0.000, 0.500, 0.000], [0.000, 0.000, 0.500], [0.500, 0.000, 0.000]]}

Run B
{"formula": "IrPd3S", "functional": "GGA-PBE", "state": "optimized geometry", "magnetic_moment_mub_per_fu": 1.69, "lattice_angstrom": [[4.423, 0.000, 0.000], [0.000, 4.423, 0.000], [0.000, 0.000, 4.423]], "species": ["S", "Ir", "Pd", "Pd", "Pd"], "frac_coords": [[0.000, 0.000, 0.000], [0.500, 0.500, 0.500], [0.000, 0.500, 0.000], [0.000, 0.000, 0.500], [0.500, 0.000, 0.000]]}

Last place for stability: run A

Run A
{"formula": "Sb2Ir2Pd", "functional": "GGA-PBE", "state": "optimized geometry", "magnetic_moment_mub_per_fu": 0.00, "lattice_angstrom": [[-6.557, 2.995, 1.423], [-3.221, -6.502, -1.156], [0.365, -0.766, 3.293]], "species": ["Sb", "Sb", "Sb", "Sb", "Ir", "Ir", "Ir", "Ir", "Pd", "Pd"], "frac_coords": [[0.164, 0.664, 0.500], [0.664, 0.836, 0.500], [0.836, 0.336, 0.500], [0.336, 0.164, 0.500], [0.364, 0.864, 0.000], [0.864, 0.636, 0.000], [0.636, 0.136, 0.000], [0.136, 0.364, 0.000], [0.000, 0.000, 0.000], [0.500, 0.500, 0.000]]}

Run B
{"formula": "Sb2Ir2Pd", "functional": "GGA-PBE", "state": "optimized geometry", "magnetic_moment_mub_per_fu": 0.00, "lattice_angstrom": [[7.524, 0.000, 0.000], [0.000, 7.524, 0.000], [0.000, 0.000, 3.238]], "species": ["Sb", "Sb", "Sb", "Sb", "Ir", "Ir", "Ir", "Ir", "Pd", "Pd"], "frac_coords": [[0.340, 0.840, 0.000], [0.840, 0.660, 0.000], [0.660, 0.160, 0.000], [0.160, 0.340, 0.000], [0.136, 0.636, 0.500], [0.636, 0.864, 0.500], [0.864, 0.364, 0.500], [0.364, 0.136, 0.500], [0.000, 0.000, 0.000], [0.500, 0.500, 0.000]]}

Last place for stability: run B

Run A
{"formula": "Sb2IrPd", "functional": "GGA-PBE", "state": "optimized geometry", "magnetic_moment_mub_per_fu": 0.00, "lattice_angstrom": [[3.566, 0.000, 0.000], [1.783, 3.088, 0.000], [1.783, 1.029, 8.541]], "species": ["Sb", "Sb", "Ir", "Pd"], "frac_coords": [[0.100, 0.100, 0.699], [0.900, 0.900, 0.301], [0.500, 0.500, 0.500], [0.000, 0.000, 0.000]]}

Run B
{"formula": "Sb2IrPd", "functional": "GGA-PBE", "state": "optimized geometry", "magnetic_moment_mub_per_fu": 0.00, "lattice_angstrom": [[-1.142, 1.924, 5.891], [3.259, -4.909, 2.235], [5.483, 1.404, 3.974]], "species": ["Sb", "Sb", "Sb", "Sb", "Ir", "Ir", "Pd", "Pd"], "frac_coords": [[0.634, 0.125, 0.250], [0.116, 0.625, 0.250], [0.375, 0.366, 0.750], [0.875, 0.884, 0.750], [0.000, 0.000, 0.000], [0.750, 0.250, 0.500], [0.500, 0.500, 0.000], [0.250, 0.750, 0.500]]}

Run C
{"formula": "Sb2IrPd", "functional": "GGA-PBE", "state": "optimized geometry", "magnetic_moment_mub_per_fu": 0.00, "lattice_angstrom": [[-0.455, 1.606, 4.448], [-3.862, -1.100, 2.540], [0.341, -3.011, 3.660]], "species": ["Sb", "Sb", "Ir", "Pd"], "frac_coords": [[0.250, 0.250, 0.250], [0.750, 0.750, 0.750], [0.500, 0.500, 0.500], [0.000, 0.000, 0.000]]}

Last place for stability: run A

Run A
{"formula": "SbTe2IrPd", "functional": "GGA-PBE", "state": "optimized geometry", "magnetic_moment_mub_per_fu": 0.00, "lattice_angstrom": [[-2.629, -0.819, 4.989], [-0.338, -4.759, -0.959], [5.040, -0.865, 2.514]], "species": ["Sb", "Ir", "Te", "Te", "Pd"], "frac_coords": [[0.000, 0.000, 0.000], [0.000, 0.500, 0.000], [0.000, 0.000, 0.500], [0.500, 0.000, 0.000], [0.500, 0.500, 0.500]]}

Run B
{"formula": "SbTe2IrPd", "functional": "GGA-PBE", "state": "optimized geometry", "magnetic_moment_mub_per_fu": 0.00, "lattice_angstrom": [[5.343, 0.000, 0.000], [0.000, 5.343, 0.000], [0.000, 0.000, 4.964]], "species": ["Sb", "Ir", "Te", "Te", "Pd"], "frac_coords": [[0.000, 0.000, 0.500], [0.000, 0.000, 0.000], [0.000, 0.500, 0.000], [0.500, 0.000, 0.000], [0.500, 0.500, 0.500]]}

Last place for stability: run A

Run A
{"formula": "Sc2IrPd", "functional": "GGA-PBE", "state": "optimized geometry", "magnetic_moment_mub_per_fu": 0.00, "lattice_angstrom": [[0.000, 3.267, 3.267], [3.267, 0.000, 3.267], [3.267, 3.267, 0.000]], "species": ["Sc", "Sc", "Ir", "Pd"], "frac_coords": [[0.250, 0.250, 0.250], [0.750, 0.750, 0.750], [0.500, 0.500, 0.500], [0.000, 0.000, 0.000]]}

Run B
{"formula": "Sc2IrPd", "functional": "GGA-PBE", "state": "optimized geometry", "magnetic_moment_mub_per_fu": 0.00, "lattice_angstrom": [[1.776, 0.000, 9.137], [-0.888, 1.538, 9.137], [-0.888, -1.538, 9.137]], "species": ["Sc", "Sc", "Ir", "Pd"], "frac_coords": [[0.911, 0.911, 0.911], [0.089, 0.089, 0.089], [0.000, 0.000, 0.000], [0.500, 0.500, 0.500]]}

Run C
{"formula": "Sc2IrPd", "functional": "GGA-PBE", "state": "optimized geometry", "magnetic_moment_mub_per_fu": 0.00, "lattice_angstrom": [[-2.732, -0.511, 6.554], [6.529, -1.034, 2.641], [2.216, 2.156, 4.958]], "species": ["Sc", "Sc", "Sc", "Sc", "Ir", "Ir", "Pd", "Pd"], "frac_coords": [[0.633, 0.125, 0.250], [0.117, 0.625, 0.250], [0.375, 0.367, 0.750], [0.875, 0.883, 0.750], [0.000, 0.000, 0.000], [0.750, 0.250, 0.500], [0.500, 0.500, 0.000], [0.250, 0.750, 0.500]]}

Last place for stability: run B